# TiFeO3, relaxed, DFT PBE with a Hubbard U
# **DFT total energy**: -8.0509 eV per atom
# **Crystal system**: monoclinic
data_TiFeO3
_cell_length_a 11.688
_cell_length_b 2.995
_cell_length_c 6.580
_cell_angle_alpha 90.00
_cell_angle_beta 103.93
_cell_angle_gamma 90.00
_space_group_name_H-M_alt 'C 1 2/m 1'
_space_group_IT_number 12
_space_group_name_Hall '-C 2y'
loop_
_atom_site_label
_atom_site_fract_x
_atom_site_fract_y
_atom_site_fract_z
Ti1 0.144 0.000 0.324
Fe1 0.137 0.500 0.829
O1 0.010 0.000 0.779
O2 0.158 0.500 0.524
O3 0.195 0.500 0.150